Entry from Alexandria via LeMat-Bulk: an optimized crystal structure of Tl2CrRu (GGA-PBE).

Results
For the total energy, the calculation gives -22.02 eV per cell. For the mass density, the calculation gives 11.61 g cm⁻³. As for the space group: Pm, No. 6. The value obtained for the volume is 80 Å³/cell. As for the distance to the lowest polymorph of the same formula: 0 meV per atom. As for the energy of formation from the pure elements: 0.402 eV per atom.

abc: 3.0934 3.0420 8.6696
angles: 79.97 90.00 90.00
Closest atoms and distances in Å follow each position.
Atoms (fractional coordinates):
Tl (0.0000, 0.2133, 0.9501)  6 Tl 3.04-3.37, 4 Ru 3.06
Ru (0.5000, 0.8390, 0.6979)  4 Cr 2.51
Cr (0.0000, 0.4116, 0.5507)  4 Ru 2.51
Tl (0.5000, 0.0361, 0.3013)  4 Cr 3.04, 6 Tl 3.04-3.37, 1 Ru 3.39